The following is a GGA-PBE calculation of a relaxed structure of CsIn4Hg2, from Alexandria via LeMat-Bulk.

**Space group**: Cmmm (65)
**Energy above the lowest structure with this stoichiometry**: 0 meV/atom
**M_tot**: 0.000 μB/atom
**Energy of formation**: -118.4 meV/atom
**Raw total energy**: -13.240 eV per cell

a b c (Å): 9.8292 9.8292 4.9037
angles (deg): 90.00 90.00 152.06
Fractional positions:
Cs 0.0000 0.0000 0.0000
In 0.1911 0.8089 0.5000
In 0.3116 0.6884 0.0000
In 0.6884 0.3116 0.0000
In 0.8089 0.1911 0.5000
Hg 0.4172 0.5828 0.5000
Hg 0.5828 0.4172 0.5000

---

The following is a GGA-PBE calculation of a relaxed structure of Cs3In6Hg5, from Alexandria via LeMat-Bulk.

**Space group**: Pmmn (59)
**M_tot**: 0.000 μB/atom
**Energy of formation**: -109.6 meV/atom
**Raw total energy**: -44.070 eV per cell

a b c (Å): 5.0627 14.8408 13.2627
angles (deg): 90.00 90.00 90.00
Fractional positions:
Cs 0.2500 0.1032 0.2481
Cs 0.2500 0.3968 0.2481
Cs 0.2500 0.7500 0.2420
Cs 0.7500 0.2500 0.7580
Cs 0.7500 0.6032 0.7519
Cs 0.7500 0.8968 0.7519
In 0.2500 0.0597 0.8963
In 0.2500 0.2500 0.5249
In 0.2500 0.2500 0.9904
In 0.2500 0.4403 0.8963
In 0.2500 0.5699 0.4853
In 0.2500 0.9301 0.4853
In 0.7500 0.0699 0.5147
In 0.7500 0.4301 0.5147
In 0.7500 0.5597 0.1037
In 0.7500 0.7500 0.0096
In 0.7500 0.7500 0.4751
In 0.7500 0.9403 0.1037
Hg 0.2500 0.0794 0.6526
Hg 0.2500 0.4206 0.6526
Hg 0.2500 0.6254 0.9914
Hg 0.2500 0.7500 0.5857
Hg 0.2500 0.8746 0.9914
Hg 0.7500 0.1254 0.0086
Hg 0.7500 0.2500 0.4143
Hg 0.7500 0.3746 0.0086
Hg 0.7500 0.5794 0.3474
Hg 0.7500 0.9206 0.3474

---

The following is a GGA-PBE calculation of a relaxed structure of Cs3In4Hg2, from Alexandria via LeMat-Bulk.

**Space group**: P-1 (2)
**M_tot**: 0.000 μB/atom
**Energy of formation**: -114.2 meV/atom
**Raw total energy**: -15.146 eV per cell

a b c (Å): 5.2021 7.6770 10.6103
angles (deg): 97.48 103.98 109.77
Fractional positions:
Cs 0.0000 0.0000 0.0000
Cs 0.2547 0.8711 0.6404
Cs 0.7453 0.1289 0.3596
In 0.3448 0.6137 0.0724
In 0.4662 0.5623 0.3707
In 0.5338 0.4377 0.6293
In 0.6552 0.3863 0.9276
Hg 0.0710 0.3850 0.7585
Hg 0.9290 0.6150 0.2415

---

The following is a GGA-PBE calculation of a relaxed structure of CsKInHg2, from Alexandria via LeMat-Bulk.

**Space group**: P4/mmm (123)
**M_tot**: 0.000 μB/atom
**Energy of formation**: -67.6 meV/atom
**Raw total energy**: -5.631 eV per cell

a b c (Å): 5.8338 5.8338 6.5878
angles (deg): 90.00 90.00 90.00
Fractional positions:
Cs 0.0000 0.0000 0.0000
K 0.5000 0.5000 0.0000
In 0.5000 0.5000 0.5000
Hg 0.0000 0.5000 0.5000
Hg 0.5000 0.0000 0.5000

---

The following is a GGA-PBE calculation of a relaxed structure of CsKInHg, from Alexandria via LeMat-Bulk.

**Space group**: F-43m (216)
**Energy above the lowest structure with this stoichiometry**: 133 meV/atom
**M_tot**: 0.001 μB/atom
**Energy of formation**: -6.8 meV/atom
**Raw total energy**: -5.019 eV per cell

a b c (Å): 6.0393 6.0393 6.0393
angles (deg): 60.00 60.00 60.00
Fractional positions:
Cs 0.0000 0.0000 0.0000
K 0.7500 0.7500 0.7500
In 0.5000 0.5000 0.5000
Hg 0.2500 0.2500 0.2500

---

The following is a GGA-PBE calculation of a relaxed structure of Cs2KIn3Hg12, from Alexandria via LeMat-Bulk.

**Space group**: R-3m (166)
**M_tot**: 0.000 μB/atom
**Energy of formation**: -16.6 meV/atom
**Raw total energy**: -14.941 eV per cell

a b c (Å): 10.3181 10.3181 10.3181
angles (deg): 60.85 60.85 60.85
Fractional positions:
Cs 0.0890 0.0890 0.0890
Cs 0.9110 0.9110 0.9110
K 0.5000 0.5000 0.5000
In 0.0000 0.5000 0.5000
In 0.5000 0.0000 0.5000
In 0.5000 0.5000 0.0000
Hg 0.0139 0.3230 0.3230
Hg 0.1725 0.1725 0.6415
Hg 0.1725 0.6415 0.1725
Hg 0.3230 0.0139 0.3230
Hg 0.3230 0.3230 0.0139
Hg 0.3585 0.8275 0.8275
Hg 0.6415 0.1725 0.1725
Hg 0.6770 0.6770 0.9861
Hg 0.6770 0.9861 0.6770
Hg 0.8275 0.3585 0.8275
Hg 0.8275 0.8275 0.3585
Hg 0.9861 0.6770 0.6770

---

The following is a GGA-PBE calculation of a relaxed structure of CsKInHg, from Alexandria via LeMat-Bulk.

**Space group**: Cm (8)
**Energy above the lowest structure with this stoichiometry**: 0 meV/atom
**M_tot**: 0.000 μB/atom
**Energy of formation**: -140.2 meV/atom
**Raw total energy**: -5.552 eV per cell

a b c (Å): 5.2658 5.2658 8.7643
angles (deg): 107.57 107.57 60.01
Fractional positions:
Cs 0.0000 0.0000 0.0000
K 0.8145 0.8145 0.4453
In 0.5620 0.5620 0.6869
Hg 0.2288 0.2288 0.6872

---

The following is a GGA-PBE calculation of a relaxed structure of CsLaInHg2, from Alexandria via LeMat-Bulk.

**Space group**: P4/mmm (123)
**M_tot**: 0.000 μB/atom
**Energy of formation**: 79.7 meV/atom
**Raw total energy**: -8.725 eV per cell

a b c (Å): 6.2189 6.2189 6.2406
angles (deg): 90.00 90.00 90.00
Fractional positions:
Cs 0.0000 0.0000 0.0000
La 0.5000 0.5000 0.5000
In 0.5000 0.5000 0.0000
Hg 0.0000 0.5000 0.5000
Hg 0.5000 0.0000 0.5000

---

The following is a GGA-PBE calculation of a relaxed structure of CsMgInHg2, from Alexandria via LeMat-Bulk.

**Space group**: P4/mmm (123)
**Energy above the lowest structure with this stoichiometry**: 59 meV/atom
**M_tot**: 0.000 μB/atom
**Energy of formation**: 9.3 meV/atom
**Raw total energy**: -5.744 eV per cell

a b c (Å): 5.8280 5.8280 5.7332
angles (deg): 90.00 90.00 90.00
Fractional positions:
Cs 0.0000 0.0000 0.0000
Mg 0.5000 0.5000 0.0000
In 0.5000 0.5000 0.5000
Hg 0.0000 0.5000 0.5000
Hg 0.5000 0.0000 0.5000

---

The following is a GGA-PBE calculation of a relaxed structure of CsMgInHg3, from Alexandria via LeMat-Bulk.

**Space group**: Cmcm (63)
**M_tot**: 0.000 μB/atom
**Energy of formation**: -108.0 meV/atom
**Raw total energy**: -13.480 eV per cell

a b c (Å): 8.0010 8.0010 7.9185
angles (deg): 90.00 90.00 124.05
Fractional positions:
Cs 0.2186 0.7814 0.7500
Cs 0.7814 0.2186 0.2500
Mg 0.4928 0.5072 0.7500
Mg 0.5072 0.4928 0.2500
In 0.0990 0.9010 0.2500
In 0.9010 0.0990 0.7500
Hg 0.2289 0.2289 0.0000
Hg 0.2289 0.2289 0.5000
Hg 0.3083 0.6917 0.2500
Hg 0.6917 0.3083 0.7500
Hg 0.7711 0.7711 0.0000
Hg 0.7711 0.7711 0.5000

---

The following is a GGA-PBE calculation of a relaxed structure of CsMgInHg2, from Alexandria via LeMat-Bulk.

**Space group**: P4/mmm (123)
**Energy above the lowest structure with this stoichiometry**: 0 meV/atom
**M_tot**: 0.000 μB/atom
**Energy of formation**: -50.2 meV/atom
**Raw total energy**: -6.041 eV per cell

a b c (Å): 5.7205 5.7205 5.6487
angles (deg): 90.00 90.00 90.00
Fractional positions:
Cs 0.0000 0.0000 0.0000
Mg 0.5000 0.5000 0.5000
In 0.5000 0.5000 0.0000
Hg 0.0000 0.5000 0.5000
Hg 0.5000 0.0000 0.5000

---

The following is a GGA-PBE calculation of a relaxed structure of Cs2MgInHg6, from Alexandria via LeMat-Bulk.

**Space group**: C2/m (12)
**M_tot**: 0.000 μB/atom
**Energy of formation**: -159.6 meV/atom
**Raw total energy**: -9.446 eV per cell

a b c (Å): 8.1078 8.1078 8.1149
angles (deg): 119.93 119.93 89.89
Fractional positions:
Cs 0.2500 0.7500 0.0000
Cs 0.7500 0.2500 0.0000
Mg 0.0000 0.0000 0.5000
In 0.5000 0.5000 0.5000
Hg 0.2444 0.2444 0.9893
Hg 0.2446 0.2446 0.5002
Hg 0.2446 0.7554 0.5000
Hg 0.7554 0.2446 0.5000
Hg 0.7554 0.7554 0.4998
Hg 0.7556 0.7556 0.0107

---

The following is a GGA-PBE calculation of a relaxed structure of Cs2NaIn3Hg12, from Alexandria via LeMat-Bulk.

**Space group**: R-3m (166)
**M_tot**: 0.000 μB/atom
**Energy of formation**: -64.9 meV/atom
**Raw total energy**: -16.031 eV per cell

a b c (Å): 8.3696 8.3696 8.3696
angles (deg): 86.38 86.38 86.38
Fractional positions:
Cs 0.1260 0.1260 0.1260
Cs 0.8740 0.8740 0.8740
Na 0.5000 0.5000 0.5000
In 0.0000 0.5000 0.5000
In 0.5000 0.0000 0.5000
In 0.5000 0.5000 0.0000
Hg 0.1195 0.1195 0.5631
Hg 0.1195 0.5631 0.1195
Hg 0.2295 0.6882 0.6882
Hg 0.3118 0.3118 0.7705
Hg 0.3118 0.7705 0.3118
Hg 0.4369 0.8805 0.8805
Hg 0.5631 0.1195 0.1195
Hg 0.6882 0.2295 0.6882
Hg 0.6882 0.6882 0.2295
Hg 0.7705 0.3118 0.3118
Hg 0.8805 0.4369 0.8805
Hg 0.8805 0.8805 0.4369

---

The following is a GGA-PBE calculation of a relaxed structure of Cs2Na5InHg2, from Alexandria via LeMat-Bulk.

**Space group**: P4/mbm (127)
**M_tot**: 0.000 μB/atom
**Energy of formation**: -85.8 meV/atom
**Raw total energy**: -25.005 eV per cell

a b c (Å): 12.8871 12.8871 4.6637
angles (deg): 90.00 90.00 90.00
Fractional positions:
Cs 0.1760 0.3240 0.0000
Cs 0.3240 0.8240 0.0000
Cs 0.6760 0.1760 0.0000
Cs 0.8240 0.6760 0.0000
Na 0.0000 0.5000 0.5000
Na 0.0601 0.8064 0.5000
Na 0.1936 0.0601 0.5000
Na 0.3064 0.5601 0.5000
Na 0.4399 0.3064 0.5000
Na 0.5000 0.0000 0.5000
Na 0.5601 0.6936 0.5000
Na 0.6936 0.4399 0.5000
Na 0.8064 0.9399 0.5000
Na 0.9399 0.1936 0.5000
In 0.0000 0.0000 0.0000
In 0.5000 0.5000 0.0000
Hg 0.1209 0.6209 0.0000
Hg 0.3791 0.1209 0.0000
Hg 0.6209 0.8791 0.0000
Hg 0.8791 0.3791 0.0000

---

The following is a GGA-PBE calculation of a relaxed structure of Cs2Na6InHg, from Alexandria via LeMat-Bulk.

**Space group**: Pmmn (59)
**M_tot**: 0.000 μB/atom
**Energy of formation**: -40.5 meV/atom
**Raw total energy**: -26.134 eV per cell

a b c (Å): 9.2759 11.7985 8.3218
angles (deg): 90.00 90.00 90.00
Fractional positions:
Cs 0.2500 0.0113 0.2373
Cs 0.2500 0.4887 0.2373
Cs 0.7500 0.5113 0.7627
Cs 0.7500 0.9887 0.7627
Na 0.0422 0.2500 0.9073
Na 0.0502 0.7500 0.5649
Na 0.2500 0.0024 0.7373
Na 0.2500 0.4976 0.7373
Na 0.4498 0.7500 0.5649
Na 0.4578 0.2500 0.9073
Na 0.5422 0.7500 0.0927
Na 0.5502 0.2500 0.4351
Na 0.7500 0.5024 0.2627
Na 0.7500 0.9976 0.2627
Na 0.9498 0.2500 0.4351
Na 0.9578 0.7500 0.0927
In 0.2500 0.7500 0.8838
In 0.7500 0.2500 0.1162
Hg 0.2500 0.2500 0.5967
Hg 0.7500 0.7500 0.4033

---

The following is a GGA-PBE calculation of a relaxed structure of CsNaIn2Hg4, from Alexandria via LeMat-Bulk.

**Space group**: R-3m (166)
**M_tot**: 0.000 μB/atom
**Energy of formation**: -171.7 meV/atom
**Raw total energy**: -10.231 eV per cell

a b c (Å): 11.6888 11.6888 11.6888
angles (deg): 25.24 25.24 25.24
Fractional positions:
Cs 0.0000 0.0000 0.0000
Na 0.5000 0.5000 0.5000
In 0.2305 0.2305 0.2305
In 0.7695 0.7695 0.7695
Hg 0.1359 0.1359 0.1359
Hg 0.4034 0.4034 0.4034
Hg 0.5966 0.5966 0.5966
Hg 0.8641 0.8641 0.8641

---

The following is a GGA-PBE calculation of a relaxed structure of Cs2NaInHg6, from Alexandria via LeMat-Bulk.

**Space group**: Fm-3m (225)
**M_tot**: 0.000 μB/atom
**Energy of formation**: -125.0 meV/atom
**Raw total energy**: -8.826 eV per cell

a b c (Å): 8.3379 8.3379 8.3379
angles (deg): 60.00 60.00 60.00
Fractional positions:
Cs 0.2500 0.2500 0.2500
Cs 0.7500 0.7500 0.7500
Na 0.0000 0.0000 0.0000
In 0.5000 0.5000 0.5000
Hg 0.2485 0.2485 0.7515
Hg 0.2485 0.7515 0.2485
Hg 0.2485 0.7515 0.7515
Hg 0.7515 0.2485 0.2485
Hg 0.7515 0.2485 0.7515
Hg 0.7515 0.7515 0.2485

---

The following is a GGA-PBE calculation of a relaxed structure of CsInNiHg2, from Alexandria via LeMat-Bulk.

**Space group**: P4/mmm (123)
**M_tot**: 0.000 μB/atom
**Energy of formation**: -85.9 meV/atom
**Raw total energy**: -10.406 eV per cell

a b c (Å): 5.3563 5.3563 5.0753
angles (deg): 90.00 90.00 90.00
Fractional positions:
Cs 0.0000 0.0000 0.0000
In 0.5000 0.5000 0.0000
Ni 0.5000 0.5000 0.5000
Hg 0.0000 0.5000 0.5000
Hg 0.5000 0.0000 0.5000

---

The following is a GGA-PBE calculation of a relaxed structure of Cs2InHgO, from Alexandria via LeMat-Bulk.

**Space group**: P4/mmm (123)
**Formation energy without anion corrections**: -0.49 eV/atom
**M_tot**: 0.137 μB/atom
**Raw total energy**: -12.175 eV per cell

a b c (Å): 6.4287 6.4287 4.5673
angles (deg): 90.00 90.00 90.00
Fractional positions:
Cs 0.0000 0.5000 0.0000
Cs 0.5000 0.0000 0.0000
In 0.0000 0.0000 0.5000
Hg 0.5000 0.5000 0.5000
O 0.0000 0.0000 0.0000

---

The following is a GGA-PBE calculation of a relaxed structure of CsInHgP2, from Alexandria via LeMat-Bulk.

**Space group**: P4/mmm (123)
**M_tot**: 0.000 μB/atom
**Energy of formation**: 295.6 meV/atom
**Raw total energy**: -13.236 eV per cell

a b c (Å): 5.1805 5.1805 6.0748
angles (deg): 90.00 90.00 90.00
Fractional positions:
Cs 0.0000 0.0000 0.0000
In 0.5000 0.5000 0.5000
Hg 0.5000 0.5000 0.0000
P 0.0000 0.5000 0.5000
P 0.5000 0.0000 0.5000

---

The following is a GGA-PBE calculation of a relaxed structure of CsIn2Hg2Pb2, from Alexandria via LeMat-Bulk.

**Space group**: R-3m (166)
**M_tot**: 0.000 μB/atom
**Energy of formation**: -97.1 meV/atom
**Raw total energy**: -15.030 eV per cell

a b c (Å): 10.5994 10.5994 10.5994
angles (deg): 29.05 29.05 29.05
Fractional positions:
Cs 0.0000 0.0000 0.0000
In 0.4408 0.4408 0.4408
In 0.5592 0.5592 0.5592
Hg 0.2530 0.2530 0.2530
Hg 0.7470 0.7470 0.7470
Pb 0.1413 0.1413 0.1413
Pb 0.8587 0.8587 0.8587

---

The following is a GGA-PBE calculation of a relaxed structure of CsInHg2Pb, from Alexandria via LeMat-Bulk.

**Space group**: P4/mmm (123)
**Energy above the lowest structure with this stoichiometry**: 152 meV/atom
**M_tot**: 0.000 μB/atom
**Energy of formation**: 13.9 meV/atom
**Raw total energy**: -7.835 eV per cell

a b c (Å): 6.1733 6.1733 5.9398
angles (deg): 90.00 90.00 90.00
Fractional positions:
Cs 0.0000 0.0000 0.0000
In 0.5000 0.5000 0.0000
Hg 0.0000 0.5000 0.5000
Hg 0.5000 0.0000 0.5000
Pb 0.5000 0.5000 0.5000

---

The following is a GGA-PBE calculation of a relaxed structure of CsInHg2Pb, from Alexandria via LeMat-Bulk.

**Space group**: P4/mmm (123)
**Energy above the lowest structure with this stoichiometry**: 157 meV/atom
**M_tot**: 0.000 μB/atom
**Energy of formation**: 18.9 meV/atom
**Raw total energy**: -7.809 eV per cell

a b c (Å): 5.9084 5.9084 5.9105
angles (deg): 90.00 90.00 90.00
Fractional positions:
Cs 0.0000 0.0000 0.0000
In 0.5000 0.5000 0.5000
Hg 0.0000 0.5000 0.5000
Hg 0.5000 0.0000 0.5000
Pb 0.5000 0.5000 0.0000